Model P:
A PBEsol-optimized structure of Ba2InPb, computed with SCAN.

Geometry as CIF:
```
data_Ba2InPb
_chemical_formula_sum 'Ba2 In1 Pb1'
_cell_length_a 4.829
_cell_length_b 5.117
_cell_length_c 6.944
_cell_angle_alpha 111.61
_cell_angle_beta 90.00
_cell_angle_gamma 90.00
_space_group_name_H-M_alt 'P 1'
_space_group_IT_number 1
_space_group_name_Hall 'P 1'
loop_
_atom_site_label
_atom_site_fract_x
_atom_site_fract_y
_atom_site_fract_z
In1 0.000 0.304 0.483
Ba1 0.500 0.735 0.345
Ba2 0.000 0.014 0.902
Pb1 0.500 0.447 0.769
```

Results
D(E_F), states/eV per cell: 2.86

Model Q:
A PBEsol-optimized structure of Ba2InPb, computed with SCAN.

Geometry as CIF:
```
data_Ba2InPb
_chemical_formula_sum 'Ba2 In1 Pb1'
_cell_length_a 3.814
_cell_length_b 4.942
_cell_length_c 7.644
_cell_angle_alpha 90.00
_cell_angle_beta 90.00
_cell_angle_gamma 90.00
_space_group_name_H-M_alt 'P 1'
_space_group_IT_number 1
_space_group_name_Hall 'P 1'
loop_
_atom_site_label
_atom_site_fract_x
_atom_site_fract_y
_atom_site_fract_z
Ba1 0.000 0.000 0.747
Ba2 0.000 0.000 0.253
In1 0.500 0.500 0.000
Pb1 0.500 0.500 0.500
```

Results
D(E_F), states/eV per cell: 2.26

Stability check: which of them is most stable? model P.

Model P:
A PBEsol-optimized structure of YReCl2, computed with SCAN.

Geometry as CIF:
```
data_YReCl2
_chemical_formula_sum 'Y1 Re1 Cl2'
_cell_length_a 4.717
_cell_length_b 4.717
_cell_length_c 4.717
_cell_angle_alpha 60.00
_cell_angle_beta 60.00
_cell_angle_gamma 60.00
_space_group_name_H-M_alt 'P 1'
_space_group_IT_number 1
_space_group_name_Hall 'P 1'
loop_
_atom_site_label
_atom_site_fract_x
_atom_site_fract_y
_atom_site_fract_z
Cl1 0.250 0.250 0.250
Cl2 0.750 0.750 0.750
Re1 0.000 0.000 0.000
Y1 0.500 0.500 0.500
```

Results
D(E_F), states/eV per cell: 1.00

Model Q:
A PBEsol-optimized structure of YReCl2, computed with SCAN.

Geometry as CIF:
```
data_YReCl2
_chemical_formula_sum 'Y1 Re1 Cl2'
_cell_length_a 3.135
_cell_length_b 3.099
_cell_length_c 9.325
_cell_angle_alpha 99.42
_cell_angle_beta 99.68
_cell_angle_gamma 90.00
_space_group_name_H-M_alt 'P 1'
_space_group_IT_number 1
_space_group_name_Hall 'P 1'
loop_
_atom_site_label
_atom_site_fract_x
_atom_site_fract_y
_atom_site_fract_z
Cl1 0.970 0.348 0.940
Cl2 0.781 0.654 0.562
Re1 0.566 0.442 0.132
Y1 0.183 0.057 0.366
```

Results
D(E_F), states/eV per cell: 1.63

Stability check: which of them is most stable? model Q.

Model P:
A PBEsol-optimized structure of LiAg2, computed with SCAN.

Geometry as CIF:
```
data_LiAg2
_chemical_formula_sum 'Li1 Ag2'
_cell_length_a 2.845
_cell_length_b 2.845
_cell_length_c 6.175
_cell_angle_alpha 103.32
_cell_angle_beta 103.32
_cell_angle_gamma 90.00
_space_group_name_H-M_alt 'P 1'
_space_group_IT_number 1
_space_group_name_Hall 'P 1'
loop_
_atom_site_label
_atom_site_fract_x
_atom_site_fract_y
_atom_site_fract_z
Ag1 0.662 0.662 0.324
Ag2 0.338 0.338 0.676
Li1 0.000 0.000 0.000
```

Results
D(E_F), states/eV per cell: 0.72

Model Q:
A PBEsol-optimized structure of LiAg2, computed with SCAN.

Geometry as CIF:
```
data_LiAg2
_chemical_formula_sum 'Li8 Ag16'
_cell_length_a 5.411
_cell_length_b 5.411
_cell_length_c 17.675
_cell_angle_alpha 90.00
_cell_angle_beta 90.00
_cell_angle_gamma 120.00
_space_group_name_H-M_alt 'P 1'
_space_group_IT_number 1
_space_group_name_Hall 'P 1'
loop_
_atom_site_label
_atom_site_fract_x
_atom_site_fract_y
_atom_site_fract_z
Li1 0.000 0.000 0.596
Li2 0.333 0.667 0.344
Li3 0.333 0.667 0.156
Li4 0.667 0.333 0.656
Li5 0.667 0.333 0.844
Li6 0.000 0.000 0.096
Li7 0.000 0.000 0.904
Li8 0.000 0.000 0.404
Ag1 0.164 0.836 0.750
Ag2 0.500 0.500 0.000
Ag3 0.667 0.333 0.375
Ag4 0.836 0.672 0.250
Ag5 0.164 0.328 0.750
Ag6 0.500 0.500 0.500
Ag7 0.667 0.333 0.125
Ag8 0.500 0.000 0.500
Ag9 0.836 0.164 0.250
Ag10 0.500 0.000 0.000
Ag11 0.333 0.667 0.875
Ag12 0.000 0.500 0.500
Ag13 0.000 0.500 0.000
Ag14 0.333 0.667 0.625
Ag15 0.672 0.836 0.750
Ag16 0.328 0.164 0.250
```

Results
D(E_F), states/eV per cell: 5.53

Stability check: which of them is most stable? model P.

Model P:
A PBEsol-optimized structure of ZrScCd2, computed with SCAN.

Geometry as CIF:
```
data_ZrScCd2
_chemical_formula_sum 'Zr1 Sc1 Cd2'
_cell_length_a 3.205
_cell_length_b 4.589
_cell_length_c 5.999
_cell_angle_alpha 90.00
_cell_angle_beta 105.49
_cell_angle_gamma 90.00
_space_group_name_H-M_alt 'P 1'
_space_group_IT_number 1
_space_group_name_Hall 'P 1'
loop_
_atom_site_label
_atom_site_fract_x
_atom_site_fract_y
_atom_site_fract_z
Cd1 0.679 0.500 0.358
Cd2 0.821 0.000 0.643
Sc1 0.078 0.000 0.157
Zr1 0.425 0.500 0.850
```

Results
D(E_F), states/eV per cell: 3.29

Model Q:
A PBEsol-optimized structure of ZrScCd2, computed with SCAN.

Geometry as CIF:
```
data_ZrScCd2
_chemical_formula_sum 'Zr1 Sc1 Cd2'
_cell_length_a 4.909
_cell_length_b 4.909
_cell_length_c 4.909
_cell_angle_alpha 60.00
_cell_angle_beta 60.00
_cell_angle_gamma 60.00
_space_group_name_H-M_alt 'P 1'
_space_group_IT_number 1
_space_group_name_Hall 'P 1'
loop_
_atom_site_label
_atom_site_fract_x
_atom_site_fract_y
_atom_site_fract_z
Zr1 0.500 0.500 0.500
Sc1 0.000 0.000 0.000
Cd1 0.250 0.250 0.250
Cd2 0.750 0.750 0.750
```

Results
D(E_F), states/eV per cell: 2.13

Stability check: which of them is most stable? model Q.

Model P:
A PBEsol-optimized structure of BeAu2Se, computed with SCAN.

Geometry as CIF:
```
data_BeAu2Se
_chemical_formula_sum 'Be1 Au2 Se1'
_cell_length_a 2.830
_cell_length_b 5.005
_cell_length_c 5.005
_cell_angle_alpha 113.84
_cell_angle_beta 90.00
_cell_angle_gamma 90.00
_space_group_name_H-M_alt 'P 1'
_space_group_IT_number 1
_space_group_name_Hall 'P 1'
loop_
_atom_site_label
_atom_site_fract_x
_atom_site_fract_y
_atom_site_fract_z
Be1 0.500 0.000 0.000
Au1 0.000 0.000 0.500
Au2 0.000 0.500 0.000
Se1 0.500 0.500 0.500
```

Results
D(E_F), states/eV per cell: 1.20

Model Q:
A PBEsol-optimized structure of BeAu2Se, computed with SCAN.

Geometry as CIF:
```
data_BeAu2Se
_chemical_formula_sum 'Be1 Au2 Se1'
_cell_length_a 2.913
_cell_length_b 4.018
_cell_length_c 6.153
_cell_angle_alpha 100.93
_cell_angle_beta 90.00
_cell_angle_gamma 111.25
_space_group_name_H-M_alt 'P 1'
_space_group_IT_number 1
_space_group_name_Hall 'P 1'
loop_
_atom_site_label
_atom_site_fract_x
_atom_site_fract_y
_atom_site_fract_z
Be1 0.000 0.000 0.500
Au1 0.280 0.561 0.308
Au2 0.720 0.439 0.692
Se1 0.500 0.000 0.000
```

Results
D(E_F), states/eV per cell: 0.89

Stability check: which of them is most stable? model Q.

Model P:
A PBEsol-optimized structure of Li2IrRh, computed with SCAN.

Geometry as CIF:
```
data_Li2IrRh
_chemical_formula_sum 'Li2 Ir1 Rh1'
_cell_length_a 2.609
_cell_length_b 2.609
_cell_length_c 8.758
_cell_angle_alpha 90.00
_cell_angle_beta 90.00
_cell_angle_gamma 118.43
_space_group_name_H-M_alt 'P 1'
_space_group_IT_number 1
_space_group_name_Hall 'P 1'
loop_
_atom_site_label
_atom_site_fract_x
_atom_site_fract_y
_atom_site_fract_z
Rh1 0.500 0.500 0.500
Li1 0.000 0.000 0.748
Li2 0.000 0.000 0.252
Ir1 0.500 0.500 0.000
```

Results
D(E_F), states/eV per cell: 2.65

Model Q:
A PBEsol-optimized structure of Li2IrRh, computed with SCAN.

Geometry as CIF:
```
data_Li2IrRh
_chemical_formula_sum 'Li2 Ir1 Rh1'
_cell_length_a 2.630
_cell_length_b 2.630
_cell_length_c 8.820
_cell_angle_alpha 81.43
_cell_angle_beta 81.43
_cell_angle_gamma 60.00
_space_group_name_H-M_alt 'P 1'
_space_group_IT_number 1
_space_group_name_Hall 'P 1'
loop_
_atom_site_label
_atom_site_fract_x
_atom_site_fract_y
_atom_site_fract_z
Ir1 0.000 0.000 0.000
Rh1 0.500 0.500 0.500
Li1 0.250 0.250 0.251
Li2 0.750 0.750 0.749
```

Results
D(E_F), states/eV per cell: 2.55

Stability check: which of them is most stable? model Q.